# 1
Material: Sc2PaSi
Method: DFT, GGA-PBE
State: optimized geometry

a b c (Å): 4.225 4.417 4.417
angles (deg): 90.00 90.00 90.00
Atoms (fractional coordinates):
Sc 0.000 0.000 0.500
Sc 0.000 0.500 0.000
Si 0.500 0.000 0.000
Pa 0.500 0.500 0.500

total energy = -7.131 eV/atom
ΔE_f (raw) = -5.42 kcal/mol of atoms
symmetry = P4/mmm
magnetic moment = 0.000 μB per atom
Fermi-level density of states = 1.2042 states/eV per atom
energy above the lowest structure with this stoichiometry = 0.0 meV/atom

***

# 2
Material: ScPaZnSi
Method: DFT, GGA-PBE
State: optimized geometry

a b c (Å): 4.835 4.835 4.835
angles (deg): 60.00 60.00 60.00
Each line ends with the local moment (μB).
Atoms (fractional coordinates):
Sc 0.000 0.000 0.000  0.09
Zn 0.250 0.250 0.250  0.01
Pa 0.500 0.500 0.500  0.40
Si 0.750 0.750 0.750  0.01

total energy = -5.883 eV/atom
ΔE_f (raw) = -5.80 kcal/mol of atoms
symmetry = F-43m
magnetic moment = 0.159 μB per atom
Fermi-level density of states = 1.5580 states/eV per atom

***

What did the first record say?
Material: Sc2PaSi
Method: DFT, GGA-PBE
State: optimized geometry

a b c (Å): 4.225 4.417 4.417
angles (deg): 90.00 90.00 90.00
Atoms (fractional coordinates):
Sc 0.000 0.000 0.500
Sc 0.000 0.500 0.000
Si 0.500 0.000 0.000
Pa 0.500 0.500 0.500

total energy = -7.131 eV/atom
ΔE_f (raw) = -5.42 kcal/mol of atoms
symmetry = P4/mmm
magnetic moment = 0.000 μB per atom
Fermi-level density of states = 1.2042 states/eV per atom
energy above the lowest structure with this stoichiometry = 0.0 meV/atom